Record 1
{"formula": "Dy2CoSn2", "functional": "PBE", "state": "optimized geometry", "space_group": "No. 72", "formation_enthalpy_0k_kj_per_mol_atoms": -48.8, "vol_a3_per_fu": 119.6, "m_tot_mub_per_cell": 1.0, "lattice_angstrom": [[-3.081, 6.386, 3.040], [3.081, -6.386, 3.040], [3.081, 6.386, -3.040]], "species": ["Dy", "Dy", "Dy", "Dy", "Co", "Co", "Sn", "Sn", "Sn", "Sn"], "frac_coords": [[0.159, 0.208, 0.367], [0.341, 0.708, 0.048], [0.659, 0.292, 0.952], [0.841, 0.792, 0.633], [0.250, 0.250, 0.000], [0.750, 0.750, 0.000], [0.087, 0.699, 0.786], [0.413, 0.199, 0.613], [0.587, 0.801, 0.387], [0.913, 0.301, 0.214]]}


Record 2
{"formula": "DyCo4Sn12", "functional": "PBE", "state": "optimized geometry", "space_group": "No. 204", "formation_enthalpy_0k_kj_per_mol_atoms": -7.8, "vol_a3_per_fu": 390.4, "m_tot_mub_per_cell": 0.0, "lattice_angstrom": [[-4.604, 4.604, 4.604], [4.604, -4.604, 4.604], [4.604, 4.604, -4.604]], "species": ["Dy", "Co", "Co", "Co", "Co", "Sn", "Sn", "Sn", "Sn", "Sn", "Sn", "Sn", "Sn", "Sn", "Sn", "Sn", "Sn"], "frac_coords": [[0.000, 0.000, 0.000], [0.000, 0.000, 0.500], [0.000, 0.500, 0.000], [0.500, 0.000, 0.000], [0.500, 0.500, 0.500], [0.159, 0.831, 0.328], [0.169, 0.328, 0.497], [0.169, 0.672, 0.841], [0.328, 0.159, 0.831], [0.328, 0.497, 0.169], [0.497, 0.169, 0.328], [0.503, 0.831, 0.672], [0.672, 0.503, 0.831], [0.672, 0.841, 0.169], [0.831, 0.328, 0.159], [0.831, 0.672, 0.503], [0.841, 0.169, 0.672]]}


Record 3
{"formula": "DyCo3Sn3", "functional": "PBE", "state": "optimized geometry", "space_group": "No. 223", "formation_enthalpy_0k_kj_per_mol_atoms": 38.0, "vol_a3_per_fu": 160.9, "m_tot_mub_per_cell": 0.0, "lattice_angstrom": [[6.853, 0.000, 0.000], [0.000, 6.853, 0.000], [0.000, 0.000, 6.853]], "species": ["Dy", "Dy", "Co", "Co", "Co", "Co", "Co", "Co", "Sn", "Sn", "Sn", "Sn", "Sn", "Sn"], "frac_coords": [[0.000, 0.000, 0.000], [0.500, 0.500, 0.500], [0.000, 0.250, 0.500], [0.000, 0.750, 0.500], [0.250, 0.500, 0.000], [0.500, 0.000, 0.250], [0.500, 0.000, 0.750], [0.750, 0.500, 0.000], [0.000, 0.500, 0.250], [0.000, 0.500, 0.750], [0.250, 0.000, 0.500], [0.500, 0.250, 0.000], [0.500, 0.750, 0.000], [0.750, 0.000, 0.500]]}


Record 4
{"formula": "Dy3Co6Sn5", "functional": "PBE", "state": "optimized geometry", "space_group": "No. 71", "formation_enthalpy_0k_kj_per_mol_atoms": -33.3, "vol_a3_per_fu": 256.3, "m_tot_mub_per_cell": 3.2, "lattice_angstrom": [[-2.157, 4.816, 6.167], [2.157, -4.816, 6.167], [2.157, 4.816, -6.167]], "species": ["Dy", "Dy", "Dy", "Co", "Co", "Co", "Co", "Co", "Co", "Sn", "Sn", "Sn", "Sn", "Sn"], "frac_coords": [[0.000, 0.000, 0.000], [0.318, 0.318, 0.000], [0.682, 0.682, 0.000], [0.165, 0.893, 0.273], [0.302, 0.500, 0.802], [0.380, 0.107, 0.273], [0.620, 0.893, 0.727], [0.698, 0.500, 0.198], [0.835, 0.107, 0.727], [0.019, 0.677, 0.341], [0.336, 0.677, 0.659], [0.500, 0.000, 0.500], [0.664, 0.323, 0.341], [0.981, 0.323, 0.659]]}


Record 5
{"formula": "DyCoSn3", "functional": "PBE", "state": "optimized geometry", "space_group": "No. 40", "formation_enthalpy_0k_kj_per_mol_atoms": -19.9, "vol_a3_per_fu": 122.1, "m_tot_mub_per_cell": 1.2, "lattice_angstrom": [[4.189, 0.000, 0.000], [0.000, 8.558, 3.405], [0.000, -8.558, 3.405]], "species": ["Dy", "Dy", "Co", "Co", "Sn", "Sn", "Sn", "Sn", "Sn", "Sn"], "frac_coords": [[0.250, 0.098, 0.902], [0.750, 0.902, 0.098], [0.250, 0.209, 0.281], [0.750, 0.281, 0.209], [0.250, 0.104, 0.478], [0.250, 0.522, 0.913], [0.250, 0.589, 0.450], [0.750, 0.450, 0.589], [0.750, 0.478, 0.104], [0.750, 0.913, 0.522]]}


Record 6
{"formula": "SrDy2Co", "functional": "PBE", "state": "optimized geometry", "space_group": "No. 123", "formation_enthalpy_0k_kj_per_mol_atoms": 1.3, "vol_a3_per_fu": 116.5, "m_tot_mub_per_cell": 0.5, "lattice_angstrom": [[3.450, 0.000, 0.000], [0.000, 3.450, 0.000], [0.000, 0.000, 9.784]], "species": ["Sr", "Dy", "Dy", "Co"], "frac_coords": [[0.000, 0.000, 0.000], [0.500, 0.500, 0.339], [0.500, 0.500, 0.661], [0.000, 0.000, 0.500]]}


Record 7
{"formula": "SrDy2Co", "functional": "PBE", "state": "optimized geometry", "space_group": "No. 166", "formation_enthalpy_0k_kj_per_mol_atoms": 7.8, "vol_a3_per_fu": 138.7, "m_tot_mub_per_cell": 0.0, "lattice_angstrom": [[1.941, 1.120, 10.630], [-1.941, 1.120, 10.630], [0.000, -2.241, 10.630]], "species": ["Sr", "Dy", "Dy", "Co"], "frac_coords": [[0.000, 0.000, 0.000], [0.122, 0.122, 0.122], [0.878, 0.878, 0.878], [0.500, 0.500, 0.500]]}


Record 8
{"formula": "Tb3Dy4Co4", "functional": "PBE", "state": "optimized geometry", "space_group": "No. 71", "formation_enthalpy_0k_kj_per_mol_atoms": -7.9, "vol_a3_per_fu": 246.7, "m_tot_mub_per_cell": 0.0, "lattice_angstrom": [[-1.810, 4.392, 7.761], [1.810, -4.392, 7.761], [1.810, 4.392, -7.761]], "species": ["Tb", "Tb", "Tb", "Dy", "Dy", "Dy", "Dy", "Co", "Co", "Co", "Co"], "frac_coords": [[0.000, 0.000, 0.000], [0.397, 0.897, 0.500], [0.603, 0.103, 0.500], [0.020, 0.334, 0.685], [0.351, 0.666, 0.685], [0.649, 0.334, 0.315], [0.980, 0.666, 0.315], [0.251, 0.251, 0.000], [0.285, 0.500, 0.785], [0.715, 0.500, 0.215], [0.749, 0.749, 0.000]]}


Copy entry 6 word for word.
{"formula": "SrDy2Co", "functional": "PBE", "state": "optimized geometry", "space_group": "No. 123", "formation_enthalpy_0k_kj_per_mol_atoms": 1.3, "vol_a3_per_fu": 116.5, "m_tot_mub_per_cell": 0.5, "lattice_angstrom": [[3.450, 0.000, 0.000], [0.000, 3.450, 0.000], [0.000, 0.000, 9.784]], "species": ["Sr", "Dy", "Dy", "Co"], "frac_coords": [[0.000, 0.000, 0.000], [0.500, 0.500, 0.339], [0.500, 0.500, 0.661], [0.000, 0.000, 0.500]]}